VASP calculation (GGA+U) on MnH8SO8 after structural relaxation.

Calculated values
M_tot, μB/cell: 20.00
E, eV/atom: -5.568
Symmetry: P2_1/c

a b c (Å): 6.0610 8.0537 14.0144
angles (deg): 90.00 90.00 90.40
Closest atoms and distances in Å follow each position.
Atoms (fractional coordinates):
H 0.3796 0.5259 0.0840  1 O 0.99
H 0.4321 0.9418 0.4022  1 O 0.99
H 0.1204 0.9741 0.5840  1 O 0.99
H 0.1939 0.3384 0.2979  1 O 0.99
H 0.1737 0.7776 0.7681  1 O 0.99
H 0.3090 0.0235 0.3143  1 O 0.98
H 0.0679 0.5582 0.9022  1 O 0.99
H 0.4566 0.6709 0.0136  1 O 0.99
H 0.8796 0.0259 0.4160  1 O 0.99
H 0.6939 0.8384 0.2021  1 O 0.99
H 0.6910 0.9765 0.6857  1 O 0.98
H 0.1910 0.4765 0.8143  1 O 0.98
H 0.8061 0.6616 0.7021  1 O 0.99
H 0.8090 0.5235 0.1857  1 O 0.98
H 0.5434 0.3291 0.9864  1 O 0.99
H 0.6204 0.4741 0.9160  1 O 0.99
H 0.9083 0.2234 0.6908  1 O 0.99
H 0.0917 0.7766 0.3092  1 O 0.99
H 0.0434 0.8291 0.5136  1 O 0.99
H 0.8543 0.5637 0.6066  1 O 0.98
H 0.8263 0.2224 0.2319  1 O 0.99
H 0.5917 0.2766 0.1908  1 O 0.99
H 0.3263 0.7224 0.2681  1 O 0.99
H 0.5679 0.0582 0.5978  1 O 0.99
H 0.9566 0.1709 0.4864  1 O 0.99
H 0.3543 0.0637 0.8934  1 O 0.98
H 0.9321 0.4418 0.0978  1 O 0.99
H 0.6457 0.9363 0.1066  1 O 0.98
H 0.3061 0.1616 0.7979  1 O 0.99
H 0.4083 0.7234 0.8092  1 O 0.99
H 0.1457 0.4363 0.3934  1 O 0.98
H 0.6737 0.2776 0.7319  1 O 0.99
O 0.1085 0.4508 0.8727  2 H 0.98-0.99
O 0.8648 0.8143 0.7897  1 S 1.48
O 0.2601 0.0137 0.0763  1 S 1.49
O 0.1927 0.7871 0.2536  2 H 0.99
O 0.2375 0.0910 0.8480  2 H 0.98-0.99
O 0.6352 0.6857 0.2897  1 S 1.48
O 0.4048 0.2941 0.0965  1 S 1.51
O 0.2399 0.4863 0.5763  1 S 1.49
O 0.4798 0.2488 0.5486  1 S 1.50
O 0.7399 0.9863 0.9237  1 S 1.49
O 0.3648 0.3143 0.7103  1 S 1.48
O 0.3915 0.0492 0.3727  2 H 0.98-0.99
O 0.0202 0.2512 0.0486  1 S 1.50
O 0.8073 0.2129 0.7464  2 H 0.99
O 0.6085 0.9508 0.6273  2 H 0.98-0.99
O 0.8700 0.1462 0.4281  2 H 0.99
O 0.3073 0.7129 0.7536  2 H 0.99
O 0.9048 0.7941 0.4035  1 S 1.51
O 0.0952 0.2059 0.5965  1 S 1.51
O 0.3700 0.6462 0.0719  2 H 0.99
O 0.2625 0.4090 0.3480  2 H 0.98-0.99
O 0.7375 0.5910 0.6520  2 H 0.98-0.99
O 0.7601 0.5137 0.4237  1 S 1.49
O 0.5202 0.7512 0.4514  1 S 1.50
O 0.6927 0.2871 0.2464  2 H 0.99
O 0.1300 0.8538 0.5719  2 H 0.99
O 0.6300 0.3538 0.9281  2 H 0.99
O 0.7625 0.9090 0.1520  2 H 0.98-0.99
O 0.5952 0.7059 0.9035  1 S 1.51
O 0.1352 0.1857 0.2103  1 S 1.48
O 0.9798 0.7488 0.9514  1 S 1.50
O 0.8915 0.5492 0.1273  2 H 0.98-0.99
S 0.2957 0.3154 0.6087  4 O 1.48-1.51
S 0.7957 0.8154 0.8913  4 O 1.48-1.51
S 0.7043 0.6846 0.3913  4 O 1.48-1.51
S 0.2043 0.1846 0.1087  4 O 1.48-1.51
Mn 0.0694 0.7833 0.1044  6 O 2.18-2.23
Mn 0.4306 0.7167 0.6044  6 O 2.18-2.23
Mn 0.9306 0.2167 0.8956  6 O 2.18-2.23
Mn 0.5694 0.2833 0.3956  6 O 2.18-2.23